1.
An optimized crystal structure of PbW4, computed with PBE.

The structure belongs to space group Im-3m (No. 229); the cell edges are 6.0424, 6.0424 and 6.0424 Å and the angles 90.00°, 90.00° and 90.00°. Symmetry generates all atoms from Pb at (0.0000, 0.0000, 0.0000) and W at (0.2500, 0.2500, 0.2500).

Its crystal system is cubic. The calculation puts the formation energy at 2.650 eV/atom.

2.
An optimized crystal structure of PmPr2Ni, computed with PBE.

The structure belongs to space group R3m (No. 160, hexagonal axes); the cell edges are 3.8960, 3.8960 and 28.1083 Å and the angles 90.00°, 90.00° and 120.00°. Symmetry generates all atoms from Pm at (0.0000, 0.0000, 0.0000), Pr at (0.0000, 0.0000, 0.2273), Pr at (0.0000, 0.0000, 0.4399) and Ni at (0.0000, 0.0000, 0.8339).

Its crystal system is trigonal. The calculation puts the formation energy at -0.034 eV/atom.

3.
An optimized crystal structure of In4SnPb7, computed with PBE.

The structure belongs to space group C2/m (No. 12); the cell edges are 13.4798, 5.9869 and 11.0717 Å and the angles 90.00°, 120.57° and 90.00°. Symmetry generates all atoms from In at (0.0660, 0.0000, 0.2637), In at (0.2315, 0.0000, 0.8171), Sn at (0.0000, 0.5000, 0.5000), Pb at (0.0000, 0.0000, 0.5000), Pb at (0.0720, 0.5000, 0.8408), Pb at (0.1510, 0.0000, 0.0510) and Pb at (0.2027, 0.5000, 0.4245).

Its crystal system is monoclinic. The calculation puts the formation energy at 0.123 eV/atom.

4.
An optimized crystal structure of Mn2TcCl, computed with PBE.

The structure belongs to space group Cmmm (No. 65); the cell edges are 3.1895, 4.8461 and 8.0290 Å and the angles 90.00°, 90.00° and 90.00°. Symmetry generates all atoms from Mn at (0.0000, 0.0000, 0.2452), Tc at (0.0000, 0.5000, 0.0000) and Cl at (0.0000, 0.5000, 0.5000).

Its crystal system is orthorhombic. The uncorrected formation energy is 0.878 eV/f.u.

5.
An optimized crystal structure of LaNdSm6, computed with PBE.

The structure belongs to space group P4/mmm (No. 123); the cell edges are 5.1623, 5.1623 and 10.3287 Å and the angles 90.00°, 90.00° and 90.00°. Symmetry generates all atoms from La at (0.0000, 0.0000, 0.0000), Nd at (0.0000, 0.0000, 0.5000), Sm at (0.0000, 0.5000, 0.2517), Sm at (0.5000, 0.5000, 0.0000) and Sm at (0.5000, 0.5000, 0.5000).

Its crystal system is tetragonal. The calculation puts the formation energy at 0.018 eV/atom.

6.
An optimized crystal structure of CeZnCu2H8, computed with PBE.

The structure belongs to space group R-3 (No. 148, hexagonal axes); the cell edges are 4.3889, 4.3889 and 18.6797 Å and the angles 90.00°, 90.00° and 120.00°. Symmetry generates all atoms from Ce at (0.0000, 0.0000, 0.0000), Zn at (0.0000, 0.0000, 0.5000), Cu at (0.0000, 0.0000, 0.2399), H at (0.0000, 0.0000, 0.3291) and H at (0.0185, 0.6429, 0.7709).

The value obtained for the electronic total energy is -3.531 eV per atom. Its crystal system is trigonal.

7.
An optimized crystal structure of Mg2ScRh, computed with PBE.

The structure belongs to space group P4/mmm (No. 123); the cell edges are 3.9639, 3.9639 and 4.7153 Å and the angles 90.00°, 90.00° and 90.00°. Symmetry generates all atoms from Mg at (0.0000, 0.5000, 0.0000), Sc at (0.0000, 0.0000, 0.5000) and Rh at (0.5000, 0.5000, 0.5000).

Its crystal system is tetragonal. The calculation puts the formation energy at -0.365 eV/atom.

8.
An optimized crystal structure of Ca3TlHg4, computed with PBE.

The structure belongs to space group P4/mmm (No. 123); the cell edges are 5.2884, 5.2884 and 7.6800 Å and the angles 90.00°, 90.00° and 90.00°. Symmetry generates all atoms from Ca at (0.0000, 0.0000, 0.0000), Ca at (0.0000, 0.0000, 0.5000), Ca at (0.5000, 0.5000, 0.0000), Tl at (0.5000, 0.5000, 0.5000) and Hg at (0.0000, 0.5000, 0.2422).

Its crystal system is tetragonal. The calculation puts the formation energy at -0.441 eV/atom.

9.
An optimized crystal structure of Be2CdRu, computed with PBE.

The structure belongs to space group P4mm (No. 99); the cell edges are 2.9245, 2.9245 and 6.0443 Å and the angles 90.00°, 90.00° and 90.00°. Symmetry generates all atoms from Be at (0.0000, 0.0000, 0.0000), Be at (0.5000, 0.5000, 0.1908), Cd at (0.0000, 0.0000, 0.4861) and Ru at (0.5000, 0.5000, 0.8221).

Its crystal system is tetragonal. The calculation puts the formation energy at 0.126 eV/atom.

10.
An optimized crystal structure of SrBeTeN2, computed with PBE.

The structure belongs to space group P4/mmm (No. 123); the cell edges are 4.7371, 4.7371 and 6.8314 Å and the angles 90.00°, 90.00° and 90.00°. Symmetry generates all atoms from Sr at (0.0000, 0.0000, 0.0000), Be at (0.5000, 0.5000, 0.5000), Te at (0.0000, 0.0000, 0.5000) and N at (0.0000, 0.5000, 0.0000).

Its crystal system is tetragonal. The uncorrected formation energy is 8.654 eV/f.u.

11.
An optimized crystal structure of KAsH, computed with PBE.

The structure belongs to space group P-1 (No. 2); the cell edges are 4.6171, 5.2353 and 6.4687 Å and the angles 66.52°, 87.12° and 89.91°. Symmetry generates all atoms from K at (0.2263, 0.1228, 0.2472), As at (0.3083, 0.4228, 0.6602) and H at (0.4492, 0.6608, 0.1647).

The value obtained for the electronic total energy is -3.310 eV per atom. Its crystal system is triclinic.

12.
An optimized crystal structure of TbYHo2N4, computed with PBE.

The structure belongs to space group P2/m (No. 10); the cell edges are 6.0080, 3.4699 and 6.0084 Å and the angles 90.00°, 109.45° and 90.00°. Symmetry generates all atoms from Tb at (0.0000, 0.0000, 0.0000), Y at (0.5000, 0.5000, 0.0000), Ho at (0.0000, 0.5000, 0.5000), Ho at (0.5000, 0.0000, 0.5000), N at (0.2495, 0.0000, 0.7475) and N at (0.2511, 0.5000, 0.2527).

Its crystal system is monoclinic. The uncorrected formation energy is -13.688 eV/f.u.